This record from OQMD via LeMat-Bulk describes a geometry-optimized Nd3Dy2Fe2B6 structure. The functional is PBE-GGA.

Structure (CIF):
```
data_Nd3Dy2Fe2B6
_chemical_formula_sum 'Nd9 Dy6 Fe6 B18'
_cell_length_a 5.4498
_cell_length_b 5.4498
_cell_length_c 23.7982
_cell_angle_alpha 90.00
_cell_angle_beta 90.00
_cell_angle_gamma 120.00
_space_group_name_H-M_alt 'R -3 m'
_space_group_IT_number 166
_space_group_name_Hall '-R 3 2"'
loop_
_atom_site_label
_atom_site_type_symbol
_atom_site_fract_x
_atom_site_fract_y
_atom_site_fract_z
Nd1 Nd 0.0000 0.0000 0.0000
Nd2 Nd 0.0000 0.0000 0.2533
Dy1 Dy 0.0000 0.0000 0.4202
Fe1 Fe 0.0000 0.0000 0.1199
B1 B 0.0000 0.3330 0.5000
```

Calculated values
E, eV per atom: -6.61
Excess energy over the best structure of this formula in the dataset, meV per atom: 0


This record from OQMD via LeMat-Bulk describes a geometry-optimized Nd3Dy2Fe2B6 structure. The functional is PBE-GGA.

Structure (CIF):
```
data_Nd3Dy2Fe2B6
_chemical_formula_sum 'Nd9 Dy6 Fe6 B18'
_cell_length_a 5.4536
_cell_length_b 5.4536
_cell_length_c 23.7357
_cell_angle_alpha 90.00
_cell_angle_beta 90.00
_cell_angle_gamma 120.00
_space_group_name_H-M_alt 'R -3 m'
_space_group_IT_number 166
_space_group_name_Hall '-R 3 2"'
loop_
_atom_site_label
_atom_site_type_symbol
_atom_site_fract_x
_atom_site_fract_y
_atom_site_fract_z
Nd1 Nd 0.0000 0.0000 0.0000
Nd2 Nd 0.0000 0.0000 0.4145
Dy1 Dy 0.0000 0.0000 0.2478
Fe1 Fe 0.0000 0.0000 0.1193
B1 B 0.0000 0.3329 0.5000
```

Calculated values
E, eV per atom: -6.60
Excess energy over the best structure of this formula in the dataset, meV per atom: 9


This record from OQMD via LeMat-Bulk describes a geometry-optimized SmDyFe6Ni2B2 structure. The functional is PBE-GGA.

Structure (CIF):
```
data_SmDyFe6Ni2B2
_chemical_formula_sum 'Sm1 Dy1 Fe6 Ni2 B2'
_cell_length_a 5.0405
_cell_length_b 5.0405
_cell_length_c 7.0779
_cell_angle_alpha 90.00
_cell_angle_beta 90.00
_cell_angle_gamma 120.00
_space_group_name_H-M_alt 'P 6/m m m'
_space_group_IT_number 191
_space_group_name_Hall '-P 6 2'
loop_
_atom_site_label
_atom_site_type_symbol
_atom_site_fract_x
_atom_site_fract_y
_atom_site_fract_z
Sm1 Sm 0.0000 0.0000 0.0000
Dy1 Dy 0.0000 0.0000 0.5000
Fe1 Fe 0.0000 0.5000 0.2142
Ni1 Ni 0.3333 0.6667 0.5000
B1 B 0.3333 0.6667 0.0000
```

Calculated values
E, eV per atom: -7.20
Excess energy over the best structure of this formula in the dataset, meV per atom: 17


This record from OQMD via LeMat-Bulk describes a geometry-optimized SmDyFe6Ni2B2 structure. The functional is PBE-GGA.

Structure (CIF):
```
data_SmDyFe6Ni2B2
_chemical_formula_sum 'Sm1 Dy1 Fe6 Ni2 B2'
_cell_length_a 5.0467
_cell_length_b 5.0467
_cell_length_c 7.0574
_cell_angle_alpha 90.00
_cell_angle_beta 90.00
_cell_angle_gamma 120.00
_space_group_name_H-M_alt 'P 6/m m m'
_space_group_IT_number 191
_space_group_name_Hall '-P 6 2'
loop_
_atom_site_label
_atom_site_type_symbol
_atom_site_fract_x
_atom_site_fract_y
_atom_site_fract_z
Sm1 Sm 0.0000 0.0000 0.0000
Dy1 Dy 0.0000 0.0000 0.5000
Fe1 Fe 0.0000 0.5000 0.2883
Ni1 Ni 0.3333 0.6667 0.0000
B1 B 0.3333 0.6667 0.5000
```

Calculated values
E, eV per atom: -7.22
Excess energy over the best structure of this formula in the dataset, meV per atom: 0


This record from OQMD via LeMat-Bulk describes a geometry-optimized DyFe2BP structure. The functional is PBE-GGA.

Structure (CIF):
```
data_DyFe2BP
_chemical_formula_sum 'Dy2 Fe4 B2 P2'
_cell_length_a 3.713
_cell_length_b 3.713
_cell_length_c 9.393
_cell_angle_alpha 90.00
_cell_angle_beta 90.00
_cell_angle_gamma 90.00
_space_group_name_H-M_alt 'I 4 m m'
_space_group_IT_number 107
_space_group_name_Hall 'I 4 -2'
loop_
_atom_site_label
_atom_site_type_symbol
_atom_site_fract_x
_atom_site_fract_y
_atom_site_fract_z
Dy1 Dy 0.000 0.000 0.000
Fe1 Fe 0.000 0.500 0.239
B1 B 0.000 0.000 0.644
P1 P 0.000 0.000 0.360
```

Calculated values
E, eV per atom: -7.39


This record from OQMD via LeMat-Bulk describes a geometry-optimized SmDyFe8B2 structure. The functional is PBE-GGA.

Structure (CIF):
```
data_SmDyFe8B2
_chemical_formula_sum 'Sm1 Dy1 Fe8 B2'
_cell_length_a 5.0816
_cell_length_b 5.0816
_cell_length_c 7.0307
_cell_angle_alpha 90.00
_cell_angle_beta 90.00
_cell_angle_gamma 120.00
_space_group_name_H-M_alt 'P 6/m m m'
_space_group_IT_number 191
_space_group_name_Hall '-P 6 2'
loop_
_atom_site_label
_atom_site_type_symbol
_atom_site_fract_x
_atom_site_fract_y
_atom_site_fract_z
Sm1 Sm 0.0000 0.0000 0.0000
Dy1 Dy 0.0000 0.0000 0.5000
Fe1 Fe 0.0000 0.5000 0.2879
Fe2 Fe 0.3333 0.6667 0.0000
B1 B 0.3333 0.6667 0.5000
```

Calculated values
E, eV per atom: -7.64
Excess energy over the best structure of this formula in the dataset, meV per atom: 0


This record from OQMD via LeMat-Bulk describes a geometry-optimized SmDyFe8B2 structure. The functional is PBE-GGA.

Structure (CIF):
```
data_SmDyFe8B2
_chemical_formula_sum 'Sm1 Dy1 Fe8 B2'
_cell_length_a 5.0836
_cell_length_b 5.0836
_cell_length_c 7.0306
_cell_angle_alpha 90.00
_cell_angle_beta 90.00
_cell_angle_gamma 120.00
_space_group_name_H-M_alt 'P 6/m m m'
_space_group_IT_number 191
_space_group_name_Hall '-P 6 2'
loop_
_atom_site_label
_atom_site_type_symbol
_atom_site_fract_x
_atom_site_fract_y
_atom_site_fract_z
Sm1 Sm 0.0000 0.0000 0.0000
Dy1 Dy 0.0000 0.0000 0.5000
Fe1 Fe 0.0000 0.5000 0.2150
Fe2 Fe 0.3333 0.6667 0.5000
B1 B 0.3333 0.6667 0.0000
```

Calculated values
E, eV per atom: -7.63
Excess energy over the best structure of this formula in the dataset, meV per atom: 10


This record from OQMD via LeMat-Bulk describes a geometry-optimized DyTmFe8B2 structure. The functional is PBE-GGA.

Structure (CIF):
```
data_DyTmFe8B2
_chemical_formula_sum 'Dy1 Tm1 Fe8 B2'
_cell_length_a 5.0399
_cell_length_b 5.0399
_cell_length_c 7.0228
_cell_angle_alpha 90.00
_cell_angle_beta 90.00
_cell_angle_gamma 120.00
_space_group_name_H-M_alt 'P 6/m m m'
_space_group_IT_number 191
_space_group_name_Hall '-P 6 2'
loop_
_atom_site_label
_atom_site_type_symbol
_atom_site_fract_x
_atom_site_fract_y
_atom_site_fract_z
Dy1 Dy 0.0000 0.0000 0.0000
Tm1 Tm 0.0000 0.0000 0.5000
Fe1 Fe 0.0000 0.5000 0.2144
Fe2 Fe 0.3333 0.6667 0.5000
B1 B 0.3333 0.6667 0.0000
```

Calculated values
E, eV per atom: -7.65
Excess energy over the best structure of this formula in the dataset, meV per atom: 5


This record from OQMD via LeMat-Bulk describes a geometry-optimized DyTmFe8B2 structure. The functional is PBE-GGA.

Structure (CIF):
```
data_DyTmFe8B2
_chemical_formula_sum 'Dy1 Tm1 Fe8 B2'
_cell_length_a 5.0380
_cell_length_b 5.0380
_cell_length_c 7.0224
_cell_angle_alpha 90.00
_cell_angle_beta 90.00
_cell_angle_gamma 120.00
_space_group_name_H-M_alt 'P 6/m m m'
_space_group_IT_number 191
_space_group_name_Hall '-P 6 2'
loop_
_atom_site_label
_atom_site_type_symbol
_atom_site_fract_x
_atom_site_fract_y
_atom_site_fract_z
Dy1 Dy 0.0000 0.0000 0.0000
Tm1 Tm 0.0000 0.0000 0.5000
Fe1 Fe 0.0000 0.5000 0.2862
Fe2 Fe 0.3333 0.6667 0.0000
B1 B 0.3333 0.6667 0.5000
```

Calculated values
E, eV per atom: -7.66
Excess energy over the best structure of this formula in the dataset, meV per atom: 0


This record from OQMD via LeMat-Bulk describes a geometry-optimized DyYFe8B2 structure. The functional is PBE-GGA.

Structure (CIF):
```
data_DyYFe8B2
_chemical_formula_sum 'Dy1 Y1 Fe8 B2'
_cell_length_a 5.0615
_cell_length_b 5.0615
_cell_length_c 7.0187
_cell_angle_alpha 90.00
_cell_angle_beta 90.00
_cell_angle_gamma 120.00
_space_group_name_H-M_alt 'P 6/m m m'
_space_group_IT_number 191
_space_group_name_Hall '-P 6 2'
loop_
_atom_site_label
_atom_site_type_symbol
_atom_site_fract_x
_atom_site_fract_y
_atom_site_fract_z
Dy1 Dy 0.0000 0.0000 0.0000
Y1 Y 0.0000 0.0000 0.5000
Fe1 Fe 0.0000 0.5000 0.2138
Fe2 Fe 0.3333 0.6667 0.5000
B1 B 0.3333 0.6667 0.0000
```

Calculated values
E, eV per atom: -7.81
Excess energy over the best structure of this formula in the dataset, meV per atom: 0


This record from OQMD via LeMat-Bulk describes a geometry-optimized DyYFe8B2 structure. The functional is PBE-GGA.

Structure (CIF):
```
data_DyYFe8B2
_chemical_formula_sum 'Dy1 Y1 Fe8 B2'
_cell_length_a 5.0629
_cell_length_b 5.0629
_cell_length_c 7.0212
_cell_angle_alpha 90.00
_cell_angle_beta 90.00
_cell_angle_gamma 120.00
_space_group_name_H-M_alt 'P 6/m m m'
_space_group_IT_number 191
_space_group_name_Hall '-P 6 2'
loop_
_atom_site_label
_atom_site_type_symbol
_atom_site_fract_x
_atom_site_fract_y
_atom_site_fract_z
Dy1 Dy 0.0000 0.0000 0.0000
Y1 Y 0.0000 0.0000 0.5000
Fe1 Fe 0.0000 0.5000 0.2861
Fe2 Fe 0.3333 0.6667 0.0000
B1 B 0.3333 0.6667 0.5000
```

Calculated values
E, eV per atom: -7.81
Excess energy over the best structure of this formula in the dataset, meV per atom: 3


This record from OQMD via LeMat-Bulk describes a geometry-optimized DyGaB structure. The functional is PBE-GGA.

Structure (CIF):
```
data_DyGaB
_chemical_formula_sum 'Dy4 Ga4 B4'
_cell_length_a 5.858
_cell_length_b 5.858
_cell_length_c 5.858
_cell_angle_alpha 90.00
_cell_angle_beta 90.00
_cell_angle_gamma 90.00
_space_group_name_H-M_alt 'F -4 3 m'
_space_group_IT_number 216
_space_group_name_Hall 'F -4 2 3'
loop_
_atom_site_label
_atom_site_type_symbol
_atom_site_fract_x
_atom_site_fract_y
_atom_site_fract_z
Dy1 Dy 0.000 0.000 0.000
Ga1 Ga 0.000 0.000 0.500
B1 B 0.250 0.250 0.250
```

Calculated values
E, eV per atom: -4.92